(w)
## TbCeSe3 (PBE)

Data for a geometry-optimized TbCeSe3 structure.

POSCAR file:
```
TbCeSe3
1.0
4.130 0.000 0.000
0.000 7.100 0.000
0.000 0.000 9.109
Tb Ce Se
2 2 6
direct
0.250 0.250 0.101
0.750 0.750 0.899
0.250 0.750 0.346
0.750 0.250 0.654
0.250 0.021 0.832
0.250 0.250 0.432
0.250 0.479 0.832
0.750 0.521 0.168
0.750 0.750 0.568
0.750 0.979 0.168
```

Output
space group	Pmmn, No. 59
volume	267.1	Å³/cell

(x)
## TbCeSe3 (PBE)

Data for a geometry-optimized TbCeSe3 structure.

POSCAR file:
```
TbCeSe3
1.0
7.758 0.000 0.000
0.000 4.157 0.000
0.000 0.000 16.049
Tb Ce Se
4 4 12
direct
0.232 0.250 0.043
0.268 0.750 0.543
0.732 0.250 0.457
0.768 0.750 0.957
0.137 0.750 0.297
0.363 0.250 0.797
0.637 0.750 0.203
0.863 0.250 0.703
0.009 0.750 0.106
0.123 0.250 0.435
0.151 0.750 0.718
0.349 0.250 0.218
0.377 0.750 0.935
0.491 0.250 0.606
0.509 0.750 0.394
0.623 0.250 0.065
0.651 0.750 0.782
0.849 0.250 0.282
0.877 0.750 0.565
0.991 0.250 0.894
```

Output
space group	Pnma, No. 62
volume	517.5	Å³/cell

Which of them is most stable, and which least? Most stable: (x); least stable: (w).

(w)
## TbCeSe (PBE)

Data for a geometry-optimized TbCeSe structure.

POSCAR file:
```
TbCeSe
1.0
3.896 0.000 0.000
-1.948 3.374 0.000
0.000 0.000 6.724
Tb Ce Se
1 1 1
direct
0.000 0.000 0.000
0.667 0.333 0.445
0.333 0.667 0.732
```

Output
space group	P3m1, No. 156
volume	88.4	Å³/cell

(x)
## TbCeSe (PBE)

Data for a geometry-optimized TbCeSe structure.

POSCAR file:
```
TbCeSe
1.0
3.606 0.000 0.000
0.000 3.606 0.000
0.000 0.000 12.636
Tb Ce Se
2 2 2
direct
0.000 0.000 0.000
0.500 0.500 0.500
0.000 0.000 0.279
0.500 0.500 0.779
0.000 0.000 0.635
0.500 0.500 0.135
```

Output
space group	I4mm, No. 107
volume	164.3	Å³/cell

Which of them is most stable, and which least? Most stable: (w); least stable: (x).

(w)
## Ce2TcSe (PBE)

Data for a geometry-optimized Ce2TcSe structure.

POSCAR file:
```
Ce2TcSe
1.0
4.022 0.000 0.000
-2.011 3.483 0.000
0.000 0.000 21.257
Ce Tc Se
6 3 3
direct
0.000 0.000 0.241
0.000 0.000 0.759
0.333 0.667 0.426
0.333 0.667 0.908
0.667 0.333 0.092
0.667 0.333 0.574
0.000 0.000 0.500
0.333 0.667 0.167
0.667 0.333 0.833
0.000 0.000 0.000
0.333 0.667 0.667
0.667 0.333 0.333
```

Output
space group	R-3m, No. 166
volume	297.8	Å³/cell

(x)
## Ce2TcSe (PBE)

Data for a geometry-optimized Ce2TcSe structure.

POSCAR file:
```
Ce2TcSe
1.0
3.477 0.000 0.000
0.000 3.477 0.000
0.000 0.000 7.372
Ce Tc Se
2 1 1
direct
0.000 0.000 0.234
0.000 0.000 0.766
0.500 0.500 0.000
0.500 0.500 0.500
```

Output
space group	P4/mmm, No. 123
volume	89.1	Å³/cell

Which of them is most stable, and which least? Most stable: (w); least stable: (x).

(w)
## CeThSe4 (PBE)

Data for a geometry-optimized CeThSe4 structure.

POSCAR file:
```
CeThSe4
1.0
6.957 0.000 0.000
0.000 6.955 0.000
-0.013 0.000 6.941
Ce Th Se
2 2 8
direct
0.000 0.000 0.000
0.500 0.500 0.000
0.000 0.500 0.500
0.500 0.000 0.500
0.250 0.250 0.248
0.250 0.250 0.752
0.250 0.750 0.248
0.250 0.750 0.752
0.750 0.250 0.248
0.750 0.250 0.752
0.750 0.750 0.248
0.750 0.750 0.752
```

Output
space group	C2/m, No. 12
volume	335.8	Å³/cell

(x)
## CeThSe4 (PBE)

Data for a geometry-optimized CeThSe4 structure.

POSCAR file:
```
CeThSe4
1.0
9.484 0.000 0.000
0.000 9.537 0.000
0.000 0.000 4.417
Ce Th Se
2 2 8
direct
0.000 0.000 0.000
0.500 0.500 0.000
0.000 0.500 0.500
0.500 0.000 0.500
0.000 0.303 0.000
0.000 0.697 0.000
0.192 0.000 0.500
0.308 0.500 0.500
0.500 0.197 0.000
0.500 0.803 0.000
0.692 0.500 0.500
0.808 0.000 0.500
```

Output
space group	Cmmm, No. 65
volume	399.5	Å³/cell

Which of them is most stable, and which least? Most stable: (w); least stable: (x).

(w)
## CeTh2Se4 (PBE)

Data for a geometry-optimized CeTh2Se4 structure.

POSCAR file:
```
CeTh2Se4
1.0
-4.426 4.426 4.450
4.426 -4.426 4.450
4.426 4.426 -4.450
Ce Th Se
2 4 8
direct
0.000 0.000 0.000
0.750 0.250 0.500
0.255 0.125 0.630
0.375 0.745 0.870
0.495 0.625 0.370
0.875 0.505 0.130
0.124 0.376 0.904
0.126 0.374 0.404
0.278 0.874 0.248
0.472 0.220 0.096
0.624 0.528 0.748
0.626 0.030 0.752
0.780 0.876 0.252
0.970 0.722 0.596
```

Output
space group	I-42d, No. 122
volume	348.7	Å³/cell

(x)
## CeTh2Se4 (PBE)

Data for a geometry-optimized CeTh2Se4 structure.

POSCAR file:
```
CeTh2Se4
1.0
2.032 -6.879 0.000
2.032 6.879 0.000
0.000 0.000 14.229
Ce Th Se
2 4 8
direct
0.116 0.884 0.750
0.884 0.116 0.250
0.358 0.642 0.563
0.358 0.642 0.937
0.642 0.358 0.063
0.642 0.358 0.437
0.000 0.000 0.000
0.000 0.000 0.500
0.280 0.720 0.133
0.280 0.720 0.367
0.456 0.544 0.750
0.544 0.456 0.250
0.720 0.280 0.633
0.720 0.280 0.867
```

Output
space group	Cmcm, No. 63
volume	397.8	Å³/cell

Which of them is most stable, and which least? Most stable: (w); least stable: (x).

(w)
## CeTiSe2 (PBE)

Data for a geometry-optimized CeTiSe2 structure.

POSCAR file:
```
CeTiSe2
1.0
3.600 0.000 0.000
-1.800 3.117 0.000
0.000 0.000 26.892
Ce Ti Se
3 3 6
direct
0.000 0.000 0.000
0.333 0.667 0.667
0.667 0.333 0.333
0.000 0.000 0.500
0.333 0.667 0.167
0.667 0.333 0.833
0.000 0.000 0.109
0.000 0.000 0.891
0.333 0.667 0.557
0.333 0.667 0.776
0.667 0.333 0.224
0.667 0.333 0.443
```

Output
space group	R-3m, No. 166
volume	301.7	Å³/cell

(x)
## CeTiSe2 (PBE)

Data for a geometry-optimized CeTiSe2 structure.

POSCAR file:
```
CeTiSe2
1.0
3.868 0.000 0.000
-1.934 3.350 0.000
0.000 0.000 20.362
Ce Ti Se
3 3 6
direct
0.000 0.000 0.000
0.333 0.667 0.667
0.667 0.333 0.333
0.000 0.000 0.177
0.333 0.667 0.843
0.667 0.333 0.510
0.000 0.000 0.574
0.000 0.000 0.766
0.333 0.667 0.241
0.333 0.667 0.433
0.667 0.333 0.100
0.667 0.333 0.908
```

Output
space group	R3m, No. 160
volume	263.8	Å³/cell

Which of them is most stable, and which least? Most stable: (x); least stable: (w).